Here is an optimized crystal structure of LiSe from the Alexandria database. Energies are from PBE.

POSCAR file:
```
LiSe
1.0
8.035 0.000 0.000
0.000 8.035 0.000
0.000 0.000 8.035
Li Se
8 8
Cartesian
1.333 1.333 1.333
1.333 6.702 6.702
2.685 2.685 5.350
2.685 5.350 2.685
5.350 2.685 2.685
5.350 5.350 5.350
6.702 1.333 6.702
6.702 6.702 1.333
1.230 1.230 6.805
1.230 6.805 1.230
2.788 2.788 2.788
2.788 5.247 5.247
5.247 2.788 5.247
5.247 5.247 2.788
6.805 1.230 1.230
6.805 6.805 6.805
```

Output
ΔE_f (raw) = -0.3700 eV per atom
magnetization = 1.016 μB per formula unit
crystal system = cubic
E above lowest polymorph = 1.079 eV/f.u.
energy = -3.069 eV/atom
symmetry = I-43m